Record 1
A relaxed Sm2TeRh crystal. Source: Alexandria, functional PBE. Values from VASP.

Output
energy relative to the elements, uncorrected	-1004	meV/atom
V	28.2	Å³ per atom
density of states at the Fermi level	7.79	states/eV/cell
energy	-5.987	eV/atom

Quantum ESPRESSO input file:
```
&SYSTEM
  ibrav = 0, nat = 12, ntyp = 3
/
ATOMIC_SPECIES
Sm 150.36 Sm.upf
Te 127.60 Te.upf
Rh 102.91 Rh.upf
CELL_PARAMETERS angstrom
4.1733 0.0000 0.0000
-2.0867 3.6142 0.0000
0.0000 0.0000 22.4510
ATOMIC_POSITIONS crystal
Sm 0.0000 0.0000 0.0000
Sm 0.0000 0.0000 0.1937
Sm 0.3333 0.6667 0.6667
Sm 0.3333 0.6667 0.8604
Sm 0.6667 0.3333 0.3333
Sm 0.6667 0.3333 0.5271
Te 0.0000 0.0000 0.4305
Te 0.3333 0.6667 0.0972
Te 0.6667 0.3333 0.7638
Rh 0.0000 0.0000 0.5958
Rh 0.3333 0.6667 0.2625
Rh 0.6667 0.3333 0.9292
```

---

Record 2
A relaxed Sm4TeRh2 crystal. Source: Alexandria, functional PBE. Values from VASP.

Output
energy relative to the elements, uncorrected	-742	meV/atom
V	32.9	Å³ per atom
density of states at the Fermi level	1.44	states/eV/cell
energy	-5.988	eV/atom

Quantum ESPRESSO input file:
```
&SYSTEM
  ibrav = 0, nat = 14, ntyp = 3
/
ATOMIC_SPECIES
Sm 150.36 Sm.upf
Te 127.60 Te.upf
Rh 102.91 Rh.upf
CELL_PARAMETERS angstrom
0.0000 6.1241 6.1381
6.1227 0.0000 6.1381
6.1227 6.1241 0.0000
ATOMIC_POSITIONS crystal
Sm 0.1948 0.7684 0.7689
Sm 0.2311 0.2321 0.8052
Sm 0.2321 0.2311 0.2316
Sm 0.2316 0.8052 0.2321
Sm 0.7684 0.1948 0.7679
Sm 0.7679 0.7689 0.7684
Sm 0.7689 0.7679 0.1948
Sm 0.8052 0.2316 0.2311
Te 0.3750 0.3750 0.3750
Te 0.6250 0.6250 0.6250
Rh 0.0000 0.0000 0.0000
Rh 0.0000 0.0000 0.5000
Rh 0.0000 0.5000 0.0000
Rh 0.5000 0.0000 0.0000
```

---

Record 3
A relaxed Sm2TeRh crystal. Source: Alexandria, functional PBE. Values from VASP.

Output
energy relative to the elements, uncorrected	-1030	meV/atom
V	27.0	Å³ per atom
density of states at the Fermi level	12.37	states/eV/cell
energy	-6.012	eV/atom

Quantum ESPRESSO input file:
```
&SYSTEM
  ibrav = 0, nat = 16, ntyp = 3
/
ATOMIC_SPECIES
Sm 150.36 Sm.upf
Te 127.60 Te.upf
Rh 102.91 Rh.upf
CELL_PARAMETERS angstrom
4.0875 0.0000 0.0000
0.0000 23.5185 0.0000
0.0000 0.0000 4.4924
ATOMIC_POSITIONS crystal
Sm 0.0000 0.0569 0.2500
Sm 0.0000 0.3402 0.2500
Sm 0.0000 0.6598 0.7500
Sm 0.0000 0.9431 0.7500
Sm 0.5000 0.1598 0.7500
Sm 0.5000 0.4431 0.7500
Sm 0.5000 0.5569 0.2500
Sm 0.5000 0.8402 0.2500
Te 0.0000 0.1943 0.2500
Te 0.0000 0.8057 0.7500
Te 0.5000 0.3057 0.7500
Te 0.5000 0.6943 0.2500
Rh 0.0000 0.4586 0.2500
Rh 0.0000 0.5414 0.7500
Rh 0.5000 0.0414 0.7500
Rh 0.5000 0.9586 0.2500
```

---

Record 4
A relaxed Sm2TeRh crystal. Source: Alexandria, functional PBE. Values from VASP.

Output
energy relative to the elements, uncorrected	-906	meV/atom
V	25.2	Å³ per atom
density of states at the Fermi level	2.18	states/eV/cell
energy	-5.889	eV/atom

Quantum ESPRESSO input file:
```
&SYSTEM
  ibrav = 0, nat = 4, ntyp = 3
/
ATOMIC_SPECIES
Sm 150.36 Sm.upf
Te 127.60 Te.upf
Rh 102.91 Rh.upf
CELL_PARAMETERS angstrom
3.6762 0.0000 0.0000
0.0000 3.6762 0.0000
0.0000 0.0000 7.4442
ATOMIC_POSITIONS crystal
Sm 0.0000 0.0000 0.2252
Sm 0.0000 0.0000 0.7748
Te 0.5000 0.5000 0.5000
Rh 0.5000 0.5000 0.0000
```